## Tl2Co2O5 (PBE with a Hubbard U)

Data for an optimized crystal structure of Tl2Co2O5.

POSCAR file:
```
Tl2Co2O5
1.0
4.1182 0.0000 0.0000
0.0000 4.1182 0.0000
0.0000 0.0000 7.4935
Tl Co O
2 2 5
Cartesian
0.0000 0.0000 1.6516
0.0000 0.0000 5.8418
2.0591 2.0591 0.0000
2.0591 2.0591 3.7467
0.0000 0.0000 3.7467
0.0000 2.0591 1.2359
0.0000 2.0591 6.2576
2.0591 0.0000 1.2359
2.0591 0.0000 6.2576
```

Values from the calculation:
Symmetry: P4/mmm
E (eV per atom): -4.402